Density functional theory data (PBE) for crystalline YAlCd2 at its relaxed geometry.

* crystal system: cubic

```
data_YAlCd2
_chemical_formula_sum 'Y4 Al4 Cd8'
_symmetry_space_group_name_H-M 'F -4 3 m'
_symmetry_Int_Tables_number 216
_symmetry_space_group_name_Hall 'F -4 2 3'
_cell_length_a 7.031
_cell_length_b 7.031
_cell_length_c 7.031
_cell_angle_alpha 90.00
_cell_angle_beta 90.00
_cell_angle_gamma 90.00
loop_
_atom_site_label
_atom_site_type_symbol
_atom_site_fract_x
_atom_site_fract_y
_atom_site_fract_z
Y1 Y 0.000 0.000 0.000
Al1 Al 0.250 0.250 0.750
Cd1 Cd 0.000 0.000 0.500
Cd2 Cd 0.250 0.250 0.250
```

***

Density functional theory data (PBE) for crystalline ZrAl2Cd at its relaxed geometry.

* crystal system: cubic

```
data_ZrAl2Cd
_chemical_formula_sum 'Zr4 Al8 Cd4'
_symmetry_space_group_name_H-M 'F -4 3 m'
_symmetry_Int_Tables_number 216
_symmetry_space_group_name_Hall 'F -4 2 3'
_cell_length_a 6.758
_cell_length_b 6.758
_cell_length_c 6.758
_cell_angle_alpha 90.00
_cell_angle_beta 90.00
_cell_angle_gamma 90.00
loop_
_atom_site_label
_atom_site_type_symbol
_atom_site_fract_x
_atom_site_fract_y
_atom_site_fract_z
Zr1 Zr 0.000 0.000 0.000
Al1 Al 0.000 0.000 0.500
Al2 Al 0.250 0.250 0.250
Cd1 Cd 0.250 0.250 0.750
```

***

Density functional theory data (PBE) for crystalline ZrAlCd2 at its relaxed geometry.

* crystal system: cubic

```
data_ZrAlCd2
_chemical_formula_sum 'Zr4 Al4 Cd8'
_symmetry_space_group_name_H-M 'F -4 3 m'
_symmetry_Int_Tables_number 216
_symmetry_space_group_name_Hall 'F -4 2 3'
_cell_length_a 6.859
_cell_length_b 6.859
_cell_length_c 6.859
_cell_angle_alpha 90.00
_cell_angle_beta 90.00
_cell_angle_gamma 90.00
loop_
_atom_site_label
_atom_site_type_symbol
_atom_site_fract_x
_atom_site_fract_y
_atom_site_fract_z
Zr1 Zr 0.000 0.000 0.000
Al1 Al 0.250 0.250 0.750
Cd1 Cd 0.000 0.000 0.500
Cd2 Cd 0.250 0.250 0.250
```

***

Density functional theory data (PBE) for crystalline Zr2AlCd at its relaxed geometry.

* crystal system: cubic

```
data_Zr2AlCd
_chemical_formula_sum 'Zr8 Al4 Cd4'
_symmetry_space_group_name_H-M 'F -4 3 m'
_symmetry_Int_Tables_number 216
_symmetry_space_group_name_Hall 'F -4 2 3'
_cell_length_a 6.928
_cell_length_b 6.928
_cell_length_c 6.928
_cell_angle_alpha 90.00
_cell_angle_beta 90.00
_cell_angle_gamma 90.00
loop_
_atom_site_label
_atom_site_type_symbol
_atom_site_fract_x
_atom_site_fract_y
_atom_site_fract_z
Zr1 Zr 0.000 0.000 0.000
Zr2 Zr 0.250 0.250 0.250
Al1 Al 0.000 0.000 0.500
Cd1 Cd 0.250 0.250 0.750
```

***

Density functional theory data (PBE) for crystalline ZrAlCd at its relaxed geometry.

* crystal system: cubic

```
data_ZrAlCd
_chemical_formula_sum 'Zr4 Al4 Cd4'
_symmetry_space_group_name_H-M 'F -4 3 m'
_symmetry_Int_Tables_number 216
_symmetry_space_group_name_Hall 'F -4 2 3'
_cell_length_a 6.440
_cell_length_b 6.440
_cell_length_c 6.440
_cell_angle_alpha 90.00
_cell_angle_beta 90.00
_cell_angle_gamma 90.00
loop_
_atom_site_label
_atom_site_type_symbol
_atom_site_fract_x
_atom_site_fract_y
_atom_site_fract_z
Zr1 Zr 0.000 0.000 0.000
Al1 Al 0.250 0.250 0.750
Cd1 Cd 0.000 0.000 0.500
```

***

Density functional theory data (PBE) for crystalline AlCoCl6 at its relaxed geometry.

* crystal system: monoclinic

```
data_AlCoCl6
_chemical_formula_sum 'Al2 Co2 Cl12'
_symmetry_space_group_name_H-M 'C 1 2 1'
_symmetry_Int_Tables_number 5
_cell_length_a 5.875
_cell_length_b 10.155
_cell_length_c 6.299
_cell_angle_alpha 90.00
_cell_angle_beta 108.28
_cell_angle_gamma 90.00
loop_
_symmetry_equiv_pos_as_xyz
'x,y,z'
'-x,y,-z'
'x+1/2,y+1/2,z'
'-x+1/2,y+1/2,-z'
loop_
_atom_site_label
_atom_site_type_symbol
_atom_site_fract_x
_atom_site_fract_y
_atom_site_fract_z
Al1 Al 0.000 0.000 0.000
Co1 Co 0.000 0.667 0.000
Cl1 Cl 0.213 0.829 0.218
Cl2 Cl 0.241 0.656 0.783
Cl3 Cl 0.246 0.515 0.217
```

***

Summary of uncorrected energy in eV for the cell shown
-51.08 -65.92 -55.55 -84.21 -51.71 -60.43
(order as listed above)
Summary of V in A^3/atom
21.7 19.3 20.2 20.8 22.3 22.3
(order as listed above)
Summary of ρ in Mg/m³
6.51 5.54 7.06 6.43 5.74 2.78
(order as listed above)